NaCdIN2 PBE optimized geometry; ΔE_f (raw) = 5.3 eV/f.u.; spin magnetization = 3.85 μB per cell; Fermi-level density of states = 1.32 states/eV per cell; E above lowest polymorph = 0.0 meV/atom; theoretical density = 3.64 g/cm³
1.0
4.493 0.000 0.000
0.000 4.493 0.000
0.000 0.000 6.567
Na Cd I N
1 1 1 2
direct
0.000 0.000 0.000
0.500 0.500 0.500
0.500 0.500 0.000
0.000 0.500 0.500
0.500 0.000 0.500